! GGA-PBEsol BeSbBr2, optimized geometry; values from VASP
&SYSTEM
  ibrav = 0, nat = 4, ntyp = 3
/
ATOMIC_SPECIES
Sb 121.76 Sb.upf
Br 79.90 Br.upf
Be 9.01 Be.upf
CELL_PARAMETERS angstrom
3.540 0.000 0.000
1.770 3.066 0.000
1.770 1.022 8.328
ATOMIC_POSITIONS crystal
Sb 0.514 0.514 0.457
Br 0.971 0.971 0.087
Br 0.761 0.761 0.718
Be 0.254 0.254 0.238
! - ρ (g/cm³) = 5.338
! - energy above the most stable polymorph in this dataset (meV/atom) = 2
! - symmetry = R3m
! - E_form (uncorrected) (meV per atom) = -68


! GGA-PBEsol KCaSb2, optimized geometry; values from VASP
&SYSTEM
  ibrav = 0, nat = 4, ntyp = 3
/
ATOMIC_SPECIES
Sb 121.76 Sb.upf
Ca 40.08 Ca.upf
K 39.10 K.upf
CELL_PARAMETERS angstrom
3.462 0.000 0.000
0.000 4.642 0.000
0.000 0.000 7.442
ATOMIC_POSITIONS crystal
Sb 0.000 0.000 0.292
Sb 0.000 0.000 0.708
Ca 0.500 0.500 0.500
K 0.500 0.500 0.000
! - ρ (g/cm³) = 4.481
! - energy above the most stable polymorph in this dataset (meV/atom) = 0
! - symmetry = Pmmm
! - E_form (uncorrected) (meV per atom) = -630


! GGA-PBEsol Na3TiPt, optimized geometry; values from VASP
&SYSTEM
  ibrav = 0, nat = 5, ntyp = 3
/
ATOMIC_SPECIES
Na 22.99 Na.upf
Pt 195.08 Pt.upf
Ti 47.87 Ti.upf
CELL_PARAMETERS angstrom
-1.808 -4.824 -1.631
4.865 -2.148 0.960
-1.505 -1.148 5.061
ATOMIC_POSITIONS crystal
Na 0.000 0.500 0.000
Na 0.000 0.000 0.500
Na 0.500 0.000 0.000
Pt 0.500 0.500 0.500
Ti 0.000 0.000 0.000
! - ρ (g/cm³) = 3.283
! - energy above the most stable polymorph in this dataset (meV/atom) = 675
! - symmetry = Pm-3m
! - ΔE_f (eV per atom) = 1.608


! GGA-PBEsol K2ZnCo, optimized geometry; values from VASP
&SYSTEM
  ibrav = 0, nat = 4, ntyp = 3
/
ATOMIC_SPECIES
Co 58.93 Co.upf
K 39.10 K.upf
Zn 65.41 Zn.upf
CELL_PARAMETERS angstrom
-3.562 3.335 1.627
-3.444 1.905 -3.312
-4.928 -1.443 0.300
ATOMIC_POSITIONS crystal
Co 0.500 0.500 0.500
K 0.000 0.000 0.000
K 0.750 0.750 0.750
Zn 0.250 0.250 0.250
! - ρ (g/cm³) = 3.495
! - symmetry = F-43m
! - ΔE_f (eV per atom) = 0.903